DFT (SCAN) results for K2InAgF6 at its PBEsol-relaxed geometry.

Summary:
Density of states at the Fermi level, states/eV/cell: 0.0
Calculated density, g/cm³: 4.00
Energy relative to the elements, uncorrected, meV/atom: -2504

abc: 8.831 8.831 8.831
angles: 90.00 90.00 90.00
Space group Fm-3m (No. 225)
Unique sites:
K (0.250, 0.250, 0.250) x8
In (0.000, 0.000, 0.000) x4
Ag (0.000, 0.000, 0.500) x4
F (0.000, 0.000, 0.235) x24

---

DFT (SCAN) results for AgIr3F at its PBEsol-relaxed geometry.

Summary:
Density of states at the Fermi level, states/eV/cell: 8.8
Calculated density, g/cm³: 10.70
Energy relative to the elements, uncorrected, meV/atom: 2708

abc: 4.780 4.780 4.780
angles: 90.00 90.00 90.00
Space group Pm-3m (No. 221)
Unique sites:
Ag (0.000, 0.000, 0.000) x1
Ir (0.000, 0.000, 0.500) x3
F (0.500, 0.500, 0.500) x1